A relaxed TaZn2Ru2 crystal. Source: Alexandria, functional PBE.

Results
ΔE_f (meV/atom): -23
Total magnetization (μB/f.u.): 0.00
Density of states at the Fermi level (states/eV/cell): 4.52
Energy relative to the lowest polymorph listed for this composition (meV/atom): 0

a b c (Å): 6.9655 6.9655 3.0268
angles (deg): 90.00 90.00 90.00
Space group P4/mbm (No. 127)
Asymmetric unit:
1 Ta 0.0000 0.0000 0.0000 (multiplicity 2)
2 Zn 0.1213 0.3787 0.0000 (multiplicity 4)
3 Ru 0.1783 0.6783 0.5000 (multiplicity 4)